[1]
VASP calculation (GGA-PBE) on a relaxed CaPdW crystal.

Output
Crystal system = monoclinic
ΔE_f = 147 meV/atom
Calculated total energy = -6.57 eV per atom
Total magnetic moment = 0.00 Bohr magnetons per cell
Polymorph energy (0 for the lowest one) = 163 meV per atom
Fermi-level density of states = 1.85 states/eV/f.u.

Unit cell a=3.2996 b=6.3789 c=6.3402 alpha=73.77 beta=74.90 gamma=90.00
Element x y z (fractional)
Ca: 0.0920 0.6800 0.2757
Ca: 0.0921 0.1801 0.2757
Pd: 0.4143 0.3370 0.6309
Pd: 0.7695 0.0230 0.9206
W: 0.8001 0.5339 0.8595
W: 0.3839 0.8262 0.6919

---

[2]
VASP calculation (GGA-PBE) on a relaxed Er2IrSe crystal.

Output
Crystal system = tetragonal
Calculated total energy = -6.52 eV per atom
Total magnetic moment = 0.00 Bohr magnetons per cell
Polymorph energy (0 for the lowest one) = 80 meV per atom
Fermi-level density of states = 1.13 states/eV/f.u.
Uncorrected formation energy = -1150.9 meV per atom

Unit cell a=3.4471 b=3.4471 c=7.2036 alpha=90.00 beta=90.00 gamma=90.00
Element x y z (fractional)
Ir: 0.5000 0.5000 0.0000
Se: 0.5000 0.5000 0.5000
Er: 0.0000 0.0000 0.7690
Er: 0.0000 0.0000 0.2310

---

[3]
VASP calculation (GGA-PBE) on a relaxed CoTc2Ru crystal.

Output
Crystal system = tetragonal
ΔE_f = 95 meV/atom
Calculated total energy = -9.18 eV per atom
Total magnetic moment = 0.26 Bohr magnetons per cell
Polymorph energy (0 for the lowest one) = 130 meV per atom
Fermi-level density of states = 4.40 states/eV/f.u.

Unit cell a=2.6732 b=2.6732 c=7.5332 alpha=90.00 beta=90.00 gamma=90.00
Element x y z (fractional)
Co: 0.0000 0.0000 0.4967
Ru: 0.5000 0.5000 0.7428
Tc: 0.0000 0.0000 0.9901
Tc: 0.5000 0.5000 0.2704

---

[4]
VASP calculation (GGA-PBE) on a relaxed Dy4SiTe2As crystal.

Output
Crystal system = monoclinic
Calculated total energy = -5.66 eV per atom
Total magnetic moment = 0.00 Bohr magnetons per cell
Fermi-level density of states = 1.73 states/eV/f.u.
Uncorrected formation energy = -1318.9 meV per atom

Unit cell a=4.2121 b=7.3029 c=7.4640 alpha=108.96 beta=90.00 gamma=90.00
Element x y z (fractional)
Dy: 0.5000 0.2440 0.2186
Dy: 0.5000 0.7560 0.7814
Dy: 0.0000 0.2644 0.7810
Dy: 0.0000 0.7356 0.2190
Si: 0.5000 0.5000 0.0000
Te: 0.5000 0.0000 0.5000
Te: 0.0000 0.5000 0.5000
As: 0.0000 0.0000 0.0000

---

[5]
VASP calculation (GGA-PBE) on a relaxed SmGdLuHg crystal.

Output
Crystal system = cubic
ΔE_f = -88 meV/atom
Calculated total energy = -5.99 eV per atom
Total magnetic moment = 7.82 Bohr magnetons per cell
Fermi-level density of states = 5.06 states/eV/f.u.

Unit cell a=5.4301 b=5.4301 c=5.4301 alpha=60.00 beta=60.00 gamma=60.00
Element x y z (fractional)
Gd: 0.5000 0.5000 0.5000
Lu: 0.7500 0.7500 0.7500
Hg: 0.2500 0.2500 0.2500
Sm: 0.0000 0.0000 0.0000

---

[6]
VASP calculation (GGA-PBE) on a relaxed CsRbCdBi crystal.

Output
Crystal system = cubic
ΔE_f = -152 meV/atom
Calculated total energy = -1.81 eV per atom
Total magnetic moment = 0.00 Bohr magnetons per cell
Fermi-level density of states = 2.67 states/eV/f.u.

Unit cell a=6.1558 b=6.1558 c=6.1558 alpha=60.00 beta=60.00 gamma=60.00
Element x y z (fractional)
Cs: 0.0000 0.0000 0.0000
Bi: 0.5000 0.5000 0.5000
Rb: 0.2500 0.2500 0.2500
Cd: 0.7500 0.7500 0.7500